Record 1
Compound: GdCdAgPb
Source: the Alexandria database
Functional: PBE
Structure: relaxed

Calculated values
- Calculated density: 9.870 Mg/m³
- VASP energy: -5.6218 eV per atom
- E_form: -0.23 eV/atom
- Total magnetic moment: 7.0 Bohr magnetons per cell

a b c (Å): 5.182 5.182 5.182
angles (deg): 60.00 60.00 60.00
Sites, in units of the cell vectors:
Gd  0.000  0.000  0.000
Cd  0.500  0.500  0.500
Ag  0.250  0.250  0.250
Pb  0.750  0.750  0.750

Record 2
Compound: GdCdAgPd
Source: the Alexandria database
Functional: PBE
Structure: relaxed

Calculated values
- Calculated density: 9.538 Mg/m³
- VASP energy: -6.1209 eV per atom
- E_form: -0.36 eV/atom
- Total magnetic moment: 7.1 Bohr magnetons per cell

a b c (Å): 4.921 4.921 4.921
angles (deg): 60.00 60.00 60.00
Sites, in units of the cell vectors:
Gd  0.000  0.000  0.000
Cd  0.750  0.750  0.750
Ag  0.500  0.500  0.500
Pd  0.250  0.250  0.250

Record 3
Compound: PmGdCdAg
Source: the Alexandria database
Functional: PBE
Structure: relaxed

Calculated values
- Calculated density: 8.214 Mg/m³
- VASP energy: -5.9441 eV per atom
- E_form: -0.29 eV/atom
- Total magnetic moment: 7.5 Bohr magnetons per cell

a b c (Å): 5.306 5.306 5.306
angles (deg): 60.00 60.00 60.00
Sites, in units of the cell vectors:
Pm  0.000  0.000  0.000
Gd  0.500  0.500  0.500
Cd  0.250  0.250  0.250
Ag  0.750  0.750  0.750

Record 4
Compound: GdCdAgPt
Source: the Alexandria database
Functional: PBE
Structure: relaxed

Calculated values
- Calculated density: 11.407 Mg/m³
- VASP energy: -6.5300 eV per atom
- E_form: -0.56 eV/atom
- Total magnetic moment: 7.2 Bohr magnetons per cell

a b c (Å): 4.903 4.903 4.903
angles (deg): 60.00 60.00 60.00
Sites, in units of the cell vectors:
Gd  0.000  0.000  0.000
Cd  0.500  0.500  0.500
Ag  0.250  0.250  0.250
Pt  0.750  0.750  0.750

Record 5
Compound: GdCdAgRh
Source: the Alexandria database
Functional: PBE
Structure: relaxed

Calculated values
- Calculated density: 9.836 Mg/m³
- VASP energy: -6.6595 eV per atom
- E_form: -0.36 eV/atom
- Total magnetic moment: 7.1 Bohr magnetons per cell

a b c (Å): 4.859 4.859 4.859
angles (deg): 60.00 60.00 60.00
Sites, in units of the cell vectors:
Gd  0.000  0.000  0.000
Cd  0.500  0.500  0.500
Ag  0.750  0.750  0.750
Rh  0.250  0.250  0.250

Record 6
Compound: GdScCdAg
Source: the Alexandria database
Functional: PBE
Structure: relaxed

Calculated values
- Calculated density: 7.391 Mg/m³
- VASP energy: -6.3018 eV per atom
- E_form: -0.26 eV/atom
- Total magnetic moment: 7.3 Bohr magnetons per cell

a b c (Å): 5.120 5.120 5.120
angles (deg): 60.00 60.00 60.00
Sites, in units of the cell vectors:
Gd  0.000  0.000  0.000
Sc  0.500  0.500  0.500
Cd  0.750  0.750  0.750
Ag  0.250  0.250  0.250